Here is a PBEsol-optimized structure of SrLi2Mg from Alexandria. Energies are from meta-GGA SCAN.

Cell and atoms, written as extended XYZ:
```
4
Lattice="3.745 0.000 0.000 0.000 3.745 0.000 0.000 0.000 7.913" Properties=species:S:1:pos:R:3 pbc="T T T"
Li 0.000 0.000 1.960
Mg 1.873 1.873 3.502
Li 1.873 1.873 0.482
Sr 0.000 0.000 5.925
```

Its magnetic moment is 0.004 μB/atom. The density of states at the Fermi level is 2.4 states/eV/cell. Its energy relative to the elements is 0.0146 eV per atom.